No. 1
Be2FeRh2 | GGA-PBE | optimized geometry

Cell lengths 6.4916, 6.4916, 2.7351 Å; angles 90.00, 90.00, 90.00 degrees
Element x y z (fractional)
Be1 0.1524 0.6524 0.5000
Be2 0.6524 0.8476 0.5000
Be3 0.8476 0.3476 0.5000
Be4 0.3476 0.1524 0.5000
Rh1 0.3538 0.8538 0.0000
Rh2 0.8538 0.6462 0.0000
Rh3 0.6462 0.1462 0.0000
Rh4 0.1462 0.3538 0.0000
Fe1 0.0000 0.0000 0.0000
Fe2 0.5000 0.5000 0.0000

The energy above the most stable polymorph in this dataset is 396 meV/atom. Its crystal system is tetragonal. Its density is 8.06 g/cm³. The formation energy comes out at -21 meV/atom. The calculation puts the calculated total energy at -0.4516 Ry per atom.

No. 2
BeFeRh | GGA-PBE | optimized geometry

Cell lengths 3.7567, 3.7567, 3.7567 Å; angles 60.00, 60.00, 60.00 degrees
Element x y z (fractional)
Be1 0.7500 0.7500 0.7500
Rh1 0.5000 0.5000 0.5000
Fe1 0.0000 0.0000 0.0000

The energy above the most stable polymorph in this dataset is 361 meV/atom. Its crystal system is cubic. Its density is 7.43 g/cm³. The formation energy comes out at 45 meV/atom. The calculation puts the calculated total energy at -0.4755 Ry per atom.

No. 3
BeFeRh2 | GGA-PBE | optimized geometry

Cell lengths 3.9208, 2.7178, 4.8346 Å; angles 73.55, 90.00, 90.00 degrees
Element x y z (fractional)
Be1 0.0000 0.7077 0.4675
Rh1 0.0000 0.9588 0.9533
Rh2 0.5000 0.2836 0.3113
Fe1 0.5000 0.5500 0.7679

Its crystal system is monoclinic. Its density is 9.10 g/cm³. The formation energy comes out at -136 meV/atom. The calculation puts the calculated total energy at -0.5041 Ry per atom.

No. 4
BeFe3Rh | GGA-PBE | optimized geometry

Cell lengths 4.5709, 4.5709, 4.5709 Å; angles 90.00, 90.00, 90.00 degrees
Element x y z (fractional)
Be1 0.5000 0.5000 0.5000
Rh1 0.0000 0.0000 0.0000
Fe1 0.0000 0.5000 0.0000
Fe2 0.0000 0.0000 0.5000
Fe3 0.5000 0.0000 0.0000

The energy above the most stable polymorph in this dataset is 836 meV/atom. Its crystal system is cubic. Its density is 4.86 g/cm³. The formation energy comes out at 1511 meV/atom. The calculation puts the calculated total energy at -0.4250 Ry per atom.

No. 5
BeFeRh2 | GGA-PBE | optimized geometry

Cell lengths 4.6845, 4.6845, 4.6845 Å; angles 135.77, 135.77, 64.33 degrees
Element x y z (fractional)
Be1 0.5000 0.5000 0.0000
Rh1 0.0000 0.0000 0.0000
Rh2 0.2500 0.7500 0.5000
Fe1 0.7500 0.2500 0.5000

Its crystal system is tetragonal. Its density is 9.11 g/cm³. The formation energy comes out at -136 meV/atom. The calculation puts the calculated total energy at -0.5042 Ry per atom.

No. 6
BeFeRh2 | GGA-PBE | optimized geometry

Cell lengths 2.8881, 2.8900, 5.8465 Å; angles 90.00, 90.00, 90.00 degrees
Element x y z (fractional)
Be1 0.5000 0.5000 0.2500
Rh1 0.0000 0.0000 0.0177
Rh2 0.0000 0.0000 0.4823
Fe1 0.5000 0.5000 0.7500

Its crystal system is tetragonal. Its density is 9.21 g/cm³. The formation energy comes out at -345 meV/atom. The calculation puts the calculated total energy at -0.5195 Ry per atom.

No. 7
BeFeRh2 | GGA-PBE | optimized geometry

Cell lengths 2.7122, 2.7122, 6.4709 Å; angles 90.00, 90.00, 90.00 degrees
Element x y z (fractional)
Be1 0.0000 0.0000 0.5020
Rh1 0.0000 0.0000 0.9893
Rh2 0.5000 0.5000 0.2938
Fe1 0.5000 0.5000 0.7149

Its crystal system is tetragonal. Its density is 9.44 g/cm³. The formation energy comes out at -158 meV/atom. The calculation puts the calculated total energy at -0.5057 Ry per atom.

No. 8
BeFeRh2 | GGA-PBE | optimized geometry

Cell lengths 4.6788, 4.6788, 4.1756 Å; angles 70.68, 70.68, 34.90 degrees
Element x y z (fractional)
Be1 0.5010 0.5010 0.5421
Rh1 0.9944 0.9944 0.0399
Rh2 0.7673 0.7673 0.6948
Fe1 0.2374 0.2374 0.2233

Its crystal system is monoclinic. Its density is 9.16 g/cm³. The formation energy comes out at -192 meV/atom. The calculation puts the calculated total energy at -0.5082 Ry per atom.

No. 9
BeFeRh | GGA-PBE | optimized geometry

Cell lengths 3.9152, 3.9152, 2.6490 Å; angles 90.00, 90.00, 120.00 degrees
Element x y z (fractional)
Be1 0.0000 0.0000 0.9877
Rh1 0.3333 0.6667 0.7242
Fe1 0.6667 0.3333 0.2881

The energy above the most stable polymorph in this dataset is 198 meV/atom. Its crystal system is trigonal. Its density is 7.92 g/cm³. The formation energy comes out at -118 meV/atom. The calculation puts the calculated total energy at -0.4874 Ry per atom.

No. 10
BeFeRh3 | GGA-PBE | optimized geometry

Cell lengths 4.0510, 4.0510, 4.0510 Å; angles 90.00, 90.00, 90.00 degrees
Element x y z (fractional)
Be1 0.0000 0.0000 0.0000
Rh1 0.0000 0.5000 0.0000
Rh2 0.0000 0.0000 0.5000
Rh3 0.5000 0.0000 0.0000
Fe1 0.5000 0.5000 0.5000

The energy above the most stable polymorph in this dataset is 0 meV/atom. Its crystal system is cubic. Its density is 9.33 g/cm³. The formation energy comes out at 517 meV/atom. The calculation puts the calculated total energy at -0.4654 Ry per atom.

No. 11
BeFeRh3 | GGA-PBE | optimized geometry

Cell lengths 4.3944, 4.3944, 4.3944 Å; angles 90.00, 90.00, 90.00 degrees
Element x y z (fractional)
Be1 0.5000 0.5000 0.5000
Rh1 0.0000 0.5000 0.0000
Rh2 0.0000 0.0000 0.5000
Rh3 0.5000 0.0000 0.0000
Fe1 0.0000 0.0000 0.0000

The energy above the most stable polymorph in this dataset is 733 meV/atom. Its crystal system is cubic. Its density is 7.31 g/cm³. The formation energy comes out at 1250 meV/atom. The calculation puts the calculated total energy at -0.4115 Ry per atom.

No. 12
BeFeRh2 | GGA-PBE | optimized geometry

Cell lengths 2.6233, 2.6233, 8.1085 Å; angles 90.00, 90.00, 115.64 degrees
Element x y z (fractional)
Be1 0.0000 0.0000 0.5009
Rh1 0.0000 0.0000 0.9871
Rh2 0.5000 0.5000 0.2859
Fe1 0.5000 0.5000 0.7261

Its crystal system is orthorhombic. Its density is 8.93 g/cm³. The formation energy comes out at 43 meV/atom. The calculation puts the calculated total energy at -0.4909 Ry per atom.

No. 13
BeFe2Rh | GGA-PBE | optimized geometry

Cell lengths 4.6213, 4.6213, 4.6213 Å; angles 143.45, 126.47, 66.57 degrees
Element x y z (fractional)
Be1 0.2459 0.7459 0.5000
Rh1 0.4866 0.4866 0.0000
Fe1 0.0092 0.0092 0.0000
Fe2 0.7583 0.2583 0.5000

Its crystal system is orthorhombic. Its density is 7.97 g/cm³. The formation energy comes out at -81 meV/atom. The calculation puts the calculated total energy at -0.5205 Ry per atom.

No. 14
BeFeRh2 | GGA-PBE | optimized geometry

Cell lengths 4.1002, 4.1002, 2.9316 Å; angles 90.00, 90.00, 89.99 degrees
Element x y z (fractional)
Be1 0.5000 0.0000 0.5000
Rh1 0.0000 0.0000 0.0000
Rh2 0.5000 0.5000 0.0000
Fe1 0.0000 0.5000 0.5000

Its crystal system is tetragonal. Its density is 9.12 g/cm³. The formation energy comes out at -293 meV/atom. The calculation puts the calculated total energy at -0.5157 Ry per atom.

No. 15
BeFeRh | GGA-PBE | optimized geometry

Cell lengths 4.8096, 4.8086, 4.8086 Å; angles 146.60, 146.60, 47.95 degrees
Element x y z (fractional)
Be1 0.0012 0.0013 0.9999
Rh1 0.6523 0.6523 0.0000
Fe1 0.3465 0.3465 0.0000

The energy above the most stable polymorph in this dataset is 65 meV/atom. Its crystal system is tetragonal. Its density is 8.30 g/cm³. The formation energy comes out at -252 meV/atom. The calculation puts the calculated total energy at -0.4972 Ry per atom.

No. 16
Be4FeRh | GGA-PBE | optimized geometry

Cell lengths 4.2695, 4.2695, 4.2695 Å; angles 60.00, 60.00, 60.00 degrees
Element x y z (fractional)
Be1 0.1280 0.6240 0.6240
Be2 0.6240 0.6240 0.6240
Be3 0.6240 0.1280 0.6240
Be4 0.6240 0.6240 0.1280
Fe1 0.2500 0.2500 0.2500
Rh1 0.0000 0.0000 0.0000

Its crystal system is cubic. Its density is 5.88 g/cm³. The formation energy comes out at -373 meV/atom. The calculation puts the calculated total energy at -0.4037 Ry per atom.

No. 17
BeFeRh2 | GGA-PBE | optimized geometry

Cell lengths 4.7788, 4.7788, 4.4105 Å; angles 62.72, 62.72, 34.06 degrees
Element x y z (fractional)
Be1 0.7500 0.7500 0.7500
Rh1 0.0287 0.0287 0.9715
Rh2 0.4713 0.4713 0.5285
Fe1 0.2500 0.2500 0.2500

Its crystal system is monoclinic. Its density is 9.08 g/cm³. The formation energy comes out at -159 meV/atom. The calculation puts the calculated total energy at -0.5058 Ry per atom.

No. 18
BeFeRh2 | GGA-PBE | optimized geometry

Cell lengths 2.7062, 3.6042, 5.0976 Å; angles 90.00, 90.00, 90.00 degrees
Element x y z (fractional)
Be1 0.0000 0.0000 0.4882
Rh1 0.0000 0.0000 0.9747
Rh2 0.5000 0.5000 0.2878
Fe1 0.5000 0.5000 0.7493

Its crystal system is orthorhombic. Its density is 9.04 g/cm³. The formation energy comes out at -129 meV/atom. The calculation puts the calculated total energy at -0.5036 Ry per atom.

No. 19
BeFe3Rh4 | GGA-PBE | optimized geometry

Cell lengths 2.9495, 2.9495, 11.9137 Å; angles 90.00, 90.00, 90.00 degrees
Element x y z (fractional)
Be1 0.5000 0.5000 0.0000
Rh1 0.0000 0.0000 0.8866
Rh2 0.0000 0.0000 0.1134
Rh3 0.0000 0.0000 0.3708
Rh4 0.0000 0.0000 0.6292
Fe1 0.5000 0.5000 0.2391
Fe2 0.5000 0.5000 0.5000
Fe3 0.5000 0.5000 0.7609

Its crystal system is tetragonal. Its density is 9.42 g/cm³. The formation energy comes out at -193 meV/atom. The calculation puts the calculated total energy at -0.5518 Ry per atom.

No. 20
BeFe2Rh2 | GGA-PBE | optimized geometry

Cell lengths 6.9665, 6.9665, 2.7398 Å; angles 90.00, 90.00, 90.00 degrees
Element x y z (fractional)
Be1 0.0000 0.0000 0.0000
Be2 0.5000 0.5000 0.0000
Rh1 0.1810 0.6810 0.5000
Rh2 0.6810 0.8190 0.5000
Rh3 0.8190 0.3190 0.5000
Rh4 0.3190 0.1810 0.5000
Fe1 0.3836 0.8836 0.0000
Fe2 0.8836 0.6164 0.0000
Fe3 0.6164 0.1164 0.0000
Fe4 0.1164 0.3836 0.0000

Its crystal system is tetragonal. Its density is 8.16 g/cm³. The formation energy comes out at 283 meV/atom. The calculation puts the calculated total energy at -0.4989 Ry per atom.

No. 21
Be2FeRh3 | GGA-PBE | optimized geometry

Cell lengths 2.8337, 2.8337, 8.7340 Å; angles 90.00, 90.00, 90.00 degrees
Element x y z (fractional)
Be1 0.5000 0.5000 0.8470
Be2 0.5000 0.5000 0.1530
Fe1 0.5000 0.5000 0.5000
Rh1 0.0000 0.0000 0.0000
Rh2 0.0000 0.0000 0.6859
Rh3 0.0000 0.0000 0.3141

Its crystal system is tetragonal. Its density is 9.06 g/cm³. The formation energy comes out at -428 meV/atom. The calculation puts the calculated total energy at -0.4966 Ry per atom.

No. 22
BeFe2Rh | GGA-PBE | optimized geometry

Cell lengths 4.6425, 4.6425, 4.6425 Å; angles 137.62, 137.62, 61.48 degrees
Element x y z (fractional)
Be1 0.7500 0.2500 0.5000
Rh1 0.2500 0.7500 0.5000
Fe1 0.0000 0.0000 0.0000
Fe2 0.5000 0.5000 0.0000

Its crystal system is tetragonal. Its density is 8.26 g/cm³. The formation energy comes out at -101 meV/atom. The calculation puts the calculated total energy at -0.5220 Ry per atom.

No. 23
Be5FeRh6 | GGA-PBE | optimized geometry

Cell lengths 3.9915, 5.6642, 6.9050 Å; angles 114.21, 106.80, 90.00 degrees
Element x y z (fractional)
Be1 0.6605 0.1605 0.3210
Be2 0.3300 0.3300 0.6600
Be3 0.0000 0.5000 0.0000
Be4 0.6700 0.6700 0.3400
Be5 0.3395 0.8395 0.6790
Rh1 0.8308 0.5749 0.6616
Rh2 0.8308 0.0867 0.6616
Rh3 0.5000 0.7382 0.0000
Rh4 0.5000 0.2618 0.0000
Rh5 0.1692 0.9133 0.3384
Rh6 0.1692 0.4251 0.3384
Fe1 0.0000 0.0000 0.0000

Its crystal system is orthorhombic. Its density is 8.83 g/cm³. The formation energy comes out at -523 meV/atom. The calculation puts the calculated total energy at -0.4745 Ry per atom.

No. 24
BeFe3Rh | GGA-PBE | optimized geometry

Cell lengths 3.8117, 3.8117, 3.8117 Å; angles 90.00, 90.00, 90.00 degrees
Element x y z (fractional)
Be1 0.0000 0.0000 0.0000
Rh1 0.5000 0.5000 0.5000
Fe1 0.0000 0.5000 0.0000
Fe2 0.0000 0.0000 0.5000
Fe3 0.5000 0.0000 0.0000

The energy above the most stable polymorph in this dataset is 0 meV/atom. Its crystal system is cubic. Its density is 8.38 g/cm³. The formation energy comes out at 674 meV/atom. The calculation puts the calculated total energy at -0.4865 Ry per atom.

No. 25
BeFe2Rh | GGA-PBE | optimized geometry

Cell lengths 4.0117, 2.5962, 4.6110 Å; angles 76.99, 90.00, 90.00 degrees
Element x y z (fractional)
Be1 0.5000 0.7500 0.7500
Rh1 0.5000 0.2500 0.2500
Fe1 0.0000 0.9563 0.9861
Fe2 0.0000 0.5437 0.5139

Its crystal system is monoclinic. Its density is 7.94 g/cm³. The formation energy comes out at -41 meV/atom. The calculation puts the calculated total energy at -0.5175 Ry per atom.

No. 26
BeFe2Rh | GGA-PBE | optimized geometry

Cell lengths 3.3312, 3.3312, 9.0783 Å; angles 79.43, 79.43, 90.00 degrees
Element x y z (fractional)
Be1 0.5000 0.5000 0.0000
Be2 0.2500 0.7500 0.5000
Rh1 0.0000 0.0000 0.0000
Rh2 0.7500 0.2500 0.5000
Fe1 0.6090 0.1250 0.2500
Fe2 0.1410 0.6250 0.2500
Fe3 0.3750 0.3910 0.7500
Fe4 0.8750 0.8590 0.7500

Its crystal system is tetragonal. Its density is 7.63 g/cm³. The formation energy comes out at 233 meV/atom. The calculation puts the calculated total energy at -0.4975 Ry per atom.

No. 27
BeFe2Rh | GGA-PBE | optimized geometry

Cell lengths 4.4561, 4.4561, 2.5906 Å; angles 90.00, 90.00, 114.04 degrees
Element x y z (fractional)
Be1 0.0000 0.5000 0.5000
Rh1 0.5000 0.0000 0.5000
Fe1 0.0000 0.0000 0.0000
Fe2 0.5000 0.5000 0.0000

Its crystal system is orthorhombic. Its density is 7.90 g/cm³. The formation energy comes out at -39 meV/atom. The calculation puts the calculated total energy at -0.5174 Ry per atom.

No. 28
BeFeRh2 | GGA-PBE | optimized geometry

Cell lengths 7.9095, 7.9095, 7.9095 Å; angles 19.85, 19.85, 19.85 degrees
Element x y z (fractional)
Be1 0.2500 0.2500 0.2500
Rh1 0.9922 0.9922 0.9922
Rh2 0.5078 0.5078 0.5078
Fe1 0.7500 0.7500 0.7500

Its crystal system is trigonal. Its density is 9.01 g/cm³. The formation energy comes out at -168 meV/atom. The calculation puts the calculated total energy at -0.5065 Ry per atom.

No. 29
BeFe2Rh | GGA-PBE | optimized geometry

Cell lengths 4.0322, 4.0322, 4.0318 Å; angles 120.01, 120.01, 89.94 degrees
Element x y z (fractional)
Be1 0.7500 0.2500 0.5000
Rh1 0.5000 0.5000 0.0000
Fe1 0.0000 0.0000 0.0000
Fe2 0.2499 0.7501 0.5000

Its crystal system is cubic. Its density is 8.01 g/cm³. The formation energy comes out at -138 meV/atom. The calculation puts the calculated total energy at -0.5247 Ry per atom.